This record from the Alexandria database describes a geometry-optimized Ge2Sb2O5 structure. The functional is GGA-PBE.

Computed properties:
- electronic total energy (eV per atom) = -5.396
- formation energy from raw total energies (kJ/mol of atoms) = -67.5
- space group = P4/mmm, No. 123

Lattice parameters (Å, degrees): 3.760 3.760 9.904 90.00 90.00 90.00
Element x y z (fractional)
Ge  0.000  0.000  0.197
Ge  0.000  0.000  0.803
Sb  0.500  0.500  0.000
Sb  0.500  0.500  0.500
O  0.000  0.000  0.000
O  0.000  0.500  0.181
O  0.000  0.500  0.819
O  0.500  0.000  0.181
O  0.500  0.000  0.819

This record from the Alexandria database describes a geometry-optimized LiFeTe structure. The functional is GGA-PBE.

Computed properties:
- electronic total energy (eV per atom) = -4.254
- formation energy from raw total energies (kJ/mol of atoms) = 24.3
- space group = P3m1, No. 156
- energy relative to the lowest polymorph listed for this composition (meV per atom) = 518

Lattice parameters (Å, degrees): 3.338 3.338 6.266 90.00 90.00 120.00
Element x y z (fractional)
Li  0.000  0.000  0.000
Fe  0.333  0.667  0.661
Te  0.667  0.333  0.385

Look up the formation energy from raw total energies of the first one. -67.5 kJ/mol of atoms

What is the electronic total energy in the first record? -5.396 eV per atom

What is the electronic total energy in the second record? -4.254 eV per atom

Number 1 is which compound? Ge2Sb2O5